Density functional theory data (PBE) for an optimized crystal structure of Ba2MgGeC.

Results
* DFT formation energy: 1.15 eV/atom
* E: -2.701 eV/atom
* symmetry: P4/mmm, No. 123
* N(E_F): 2.4 states/eV per cell

a b c (Å): 6.4389 6.4389 4.7219
angles (deg): 90.00 90.00 90.00
Last column: nearest neighbours and their distance in Å.
Sites, in units of the cell vectors:
Ba (0.0000, 0.5000, 0.0000)  2 Mg 3.22
Ba (0.5000, 0.0000, 0.0000)  2 Mg 3.22
Mg (0.0000, 0.0000, 0.0000)  2 Ge 2.36
Ge (0.0000, 0.0000, 0.5000)  2 Mg 2.36
C (0.5000, 0.5000, 0.5000)  8 Ba 3.99